Material: AcCoO4
Method: DFT, GGA+U
State: optimized geometry

```
12
Lattice="-5.925 1.898 1.373 1.809 -5.613 2.411 3.888 4.356 2.551" Properties=species:S:1:pos:R:3 pbc="T T T"
O -1.716 -0.144 1.933
O -1.765 -2.704 3.393
O 1.477 -3.271 3.386
Ac 0.000 0.000 0.000
Co -2.058 -1.857 1.892
Ac -2.048 2.198 2.908
O 3.504 -1.148 3.649
O 0.770 -1.100 4.748
O 2.879 2.041 3.123
O 0.146 2.089 4.222
Co 1.819 -1.557 3.427
O 1.527 -0.711 1.927
```

* D(E_F): 4.7 states/eV/f.u.
* space group: I4_1/amd
* final energy: -6.558 eV per atom